(1)
This record from Alexandria describes a relaxed structure of AgIrW. The functional is PBE.

Total DFT energy (no corrections) ... -7.877 eV/atom
SG ... Fmm2 (42)
N(E_F) ... 0.583 states/eV/atom

Cell: 7.6048 7.3892 2.7399 Å, 83.94 75.07 20.99°
Sites, in units of the cell vectors:
1 Ag 0.9999 0.9999 0.0001
2 W 0.6748 0.6748 0.3252
3 Ir 0.3255 0.3255 0.6745

(2)
This record from Alexandria describes a relaxed structure of Ag2IrW. The functional is PBE.

Total DFT energy (no corrections) ... -6.310 eV/atom
SG ... I4/mmm (139)
N(E_F) ... 1.043 states/eV/atom

Cell: 5.2620 5.2620 5.2620 Å, 137.65 137.65 61.45°
Sites, in units of the cell vectors:
1 Ag 0.5000 0.5000 0.0000
2 Ag 0.0000 0.0000 0.0000
3 W 0.7500 0.2500 0.5000
4 Ir 0.2500 0.7500 0.5000

(3)
This record from Alexandria describes a relaxed structure of Ag2IrW. The functional is PBE.

Total DFT energy (no corrections) ... -5.926 eV/atom
SG ... P4/mmm (123)
N(E_F) ... 1.246 states/eV/atom

Cell: 4.7565 4.7565 2.8901 Å, 90.00 90.00 90.00°
Sites, in units of the cell vectors:
1 Ir 0.5000 0.0000 0.5000
2 Ag 0.0000 0.0000 0.0000
3 Ag 0.5000 0.5000 0.0000
4 W 0.0000 0.5000 0.5000

(4)
This record from Alexandria describes a relaxed structure of Ag2IrW. The functional is PBE.

Total DFT energy (no corrections) ... -6.328 eV/atom
SG ... Cmmm (65)
N(E_F) ... 0.900 states/eV/atom

Cell: 2.7312 2.7312 9.8544 Å, 90.00 90.00 116.12°
Sites, in units of the cell vectors:
1 Ir 0.5000 0.5000 0.2500
2 W 0.5000 0.5000 0.7500
3 Ag 0.0000 0.0000 0.0030
4 Ag 0.0000 0.0000 0.4970

N(E_F) of number 4 (Ag2IrW)? 0.900 states/eV/atom

Which value of N(E_F) does entry 1 give? 0.583 states/eV/atom

Among the records above, which one has the lowest N(E_F)? AgIrW